Record 1
Entry from Alexandria via LeMat-Bulk: a relaxed structure of Sm2DyPb (PBE).

energy	-35.131	eV/cell
space-group type	Cmcm (63)
formation enthalpy at 0 K	0.046	eV/atom
relative energy among the computed polymorphs	34.01	kJ per mole of atoms
crystal system	orthorhombic

```
Sm2DyPb
1.0
-0.915 -1.290 3.087
2.979 -4.722 -1.090
11.359 6.238 4.026
Sm Dy Pb
4 2 2
direct
0.816 0.750 0.631
0.093 0.750 0.187
0.184 0.250 0.369
0.907 0.250 0.813
0.971 0.750 0.942
0.029 0.250 0.058
0.697 0.750 0.394
0.303 0.250 0.606
```


Record 2
Entry from Alexandria via LeMat-Bulk: a relaxed structure of Sm5DyPb5 (PBE).

energy	-50.172	eV/cell
space-group type	C2/m (12)
formation enthalpy at 0 K	-0.312	eV/atom
crystal system	monoclinic

```
Sm5DyPb5
1.0
6.358 0.000 0.000
-3.179 7.998 0.586
0.000 -2.320 7.130
Sm Dy Pb
5 1 5
direct
0.666 0.333 0.328
0.663 0.325 0.826
0.000 0.000 0.500
0.337 0.675 0.174
0.334 0.667 0.672
0.000 0.000 0.000
0.834 0.667 0.160
0.835 0.669 0.663
0.500 0.000 0.000
0.165 0.331 0.337
0.166 0.333 0.840
```


Record 3
Entry from Alexandria via LeMat-Bulk: a relaxed structure of Sm3DyPb3 (PBE).

energy	-63.452	eV/cell
space-group type	P6_3/m (176)
formation enthalpy at 0 K	-0.263	eV/atom
crystal system	hexagonal

```
Sm3DyPb3
1.0
6.294 0.000 0.000
0.000 9.626 0.000
0.000 -4.813 8.336
Sm Dy Pb
6 2 6
direct
0.750 0.693 0.668
0.750 0.332 0.025
0.750 0.975 0.307
0.250 0.307 0.332
0.250 0.668 0.975
0.250 0.025 0.693
0.250 0.667 0.333
0.750 0.333 0.667
0.250 0.659 0.654
0.250 0.346 0.006
0.250 0.994 0.341
0.750 0.341 0.346
0.750 0.654 0.994
0.750 0.006 0.659
```


Record 4
Entry from Alexandria via LeMat-Bulk: a relaxed structure of Sm2DyPb (PBE).

energy	-18.976	eV/cell
space-group type	P4/mmm (123)
formation enthalpy at 0 K	-0.307	eV/atom
relative energy among the computed polymorphs	0.00	kJ per mole of atoms
crystal system	tetragonal

```
Sm2DyPb
1.0
-4.619 1.316 -1.208
0.212 -2.879 -3.949
-1.752 -3.735 2.629
Pb Sm Dy
1 2 1
direct
0.500 0.000 0.000
0.000 0.000 0.500
0.000 0.500 0.000
0.500 0.500 0.500
```


Record 5
Entry from Alexandria via LeMat-Bulk: a relaxed structure of Sm3DyPb2 (PBE).

energy	-28.797	eV/cell
space-group type	P-4m2 (115)
formation enthalpy at 0 K	-0.437	eV/atom
relative energy among the computed polymorphs	0.00	kJ per mole of atoms
crystal system	tetragonal

```
Sm3DyPb2
1.0
-1.293 3.716 2.426
-4.345 -0.546 -1.480
-1.714 -5.113 6.919
Sm Dy Pb
3 1 2
direct
0.500 0.000 0.345
0.000 0.500 0.655
0.000 0.000 0.000
0.500 0.500 0.000
0.500 0.000 0.717
0.000 0.500 0.283
```


Record 6
Entry from Alexandria via LeMat-Bulk: a relaxed structure of Sm2DyPb3 (PBE).

energy	-56.519	eV/cell
space-group type	C2/c (15)
formation enthalpy at 0 K	-0.516	eV/atom
relative energy among the computed polymorphs	0.00	kJ per mole of atoms
crystal system	monoclinic

```
Sm2DyPb3
1.0
-2.395 5.863 1.285
-5.072 -2.728 2.990
7.347 0.051 5.470
Sm Dy Pb
4 2 6
direct
0.586 0.542 0.334
0.086 0.792 0.334
0.914 0.208 0.666
0.414 0.458 0.666
0.750 0.124 0.000
0.250 0.876 0.000
0.250 0.375 0.000
0.750 0.625 0.000
0.082 0.289 0.329
0.418 0.960 0.671
0.582 0.040 0.329
0.918 0.711 0.671
```


Record 7
Entry from Alexandria via LeMat-Bulk: a relaxed structure of Sm3DyPb5 (PBE).

energy	-82.850	eV/cell
space-group type	P6_3/mcm (193)
formation enthalpy at 0 K	-0.458	eV/atom
crystal system	hexagonal

```
Sm3DyPb5
1.0
-4.587 3.948 -2.618
-6.768 -6.633 1.854
2.064 6.760 6.578
Sm Dy Pb
6 2 10
direct
0.750 0.381 0.000
0.750 0.619 0.619
0.750 0.000 0.381
0.250 0.619 0.000
0.250 0.381 0.381
0.250 0.000 0.619
0.000 0.000 0.000
0.500 0.000 0.000
0.000 0.333 0.667
0.500 0.667 0.333
0.000 0.667 0.333
0.500 0.333 0.667
0.750 0.715 0.000
0.750 0.285 0.285
0.750 0.000 0.715
0.250 0.285 0.000
0.250 0.715 0.715
0.250 0.000 0.285
```


Record 8
Entry from Alexandria via LeMat-Bulk: a relaxed structure of Sm2DyPb (PBE).

energy	-17.592	eV/cell
space-group type	R-3m (166)
formation enthalpy at 0 K	0.039	eV/atom
relative energy among the computed polymorphs	33.37	kJ per mole of atoms
crystal system	trigonal

```
Sm2DyPb
1.0
3.573 0.000 0.000
1.786 3.094 0.000
1.786 1.031 12.200
Pb Sm Dy
1 2 1
direct
0.000 0.000 0.000
0.088 0.088 0.735
0.912 0.912 0.265
0.500 0.500 0.500
```


Record 9
Entry from Alexandria via LeMat-Bulk: a relaxed structure of Sm12Dy7Pb (PBE).

energy	-89.447	eV/cell
space-group type	R-3m (166)
formation enthalpy at 0 K	0.155	eV/atom
crystal system	trigonal

```
Sm12Dy7Pb
1.0
-5.531 -3.493 -6.021
-6.446 -2.560 5.563
-5.364 7.021 -0.990
Sm Dy Pb
12 7 1
direct
0.781 0.181 0.781
0.819 0.219 0.219
0.536 0.153 0.536
0.847 0.464 0.464
0.219 0.219 0.819
0.464 0.464 0.847
0.536 0.536 0.153
0.781 0.781 0.181
0.153 0.536 0.536
0.464 0.847 0.464
0.181 0.781 0.781
0.219 0.819 0.219
0.860 0.542 0.860
0.458 0.140 0.140
0.140 0.140 0.458
0.500 0.500 0.500
0.860 0.860 0.542
0.542 0.860 0.860
0.140 0.458 0.140
0.000 0.000 0.000
```


Record 10
Entry from Alexandria via LeMat-Bulk: a relaxed structure of SmDy2Pb9 (PBE).

energy	-50.884	eV/cell
space-group type	P4/mmm (123)
formation enthalpy at 0 K	-0.299	eV/atom
crystal system	tetragonal

```
SmDy2Pb9
1.0
-0.688 3.974 -2.765
-3.882 1.216 2.714
8.673 7.727 8.946
Sm Dy Pb
1 2 9
direct
0.000 0.000 0.000
0.000 0.000 0.334
0.000 0.000 0.666
0.500 0.500 0.000
0.500 0.500 0.335
0.500 0.500 0.665
0.500 0.000 0.169
0.500 0.000 0.500
0.500 0.000 0.831
0.000 0.500 0.169
0.000 0.500 0.500
0.000 0.500 0.831
```


Record 11
Entry from Alexandria via LeMat-Bulk: a relaxed structure of Sm3DyPb2 (PBE).

energy	-57.013	eV/cell
space-group type	Cmmm (65)
formation enthalpy at 0 K	-0.388	eV/atom
relative energy among the computed polymorphs	4.67	kJ per mole of atoms
crystal system	orthorhombic

```
Sm3DyPb2
1.0
-1.948 4.554 -0.306
-7.045 -2.690 4.810
8.359 1.179 4.585
Sm Dy Pb
6 2 4
direct
0.500 0.250 0.000
0.500 0.750 0.000
0.824 0.074 0.648
0.176 0.426 0.352
0.176 0.926 0.352
0.824 0.574 0.648
0.000 0.500 0.000
0.000 0.000 0.000
0.350 0.350 0.700
0.650 0.150 0.300
0.350 0.850 0.700
0.650 0.650 0.300
```


Record 12
Entry from Alexandria via LeMat-Bulk: a relaxed structure of Sm6Dy8Pb (PBE).

energy	-67.807	eV/cell
space-group type	P-3 (147)
formation enthalpy at 0 K	0.069	eV/atom
crystal system	trigonal

```
Sm6Dy8Pb
1.0
6.466 0.000 0.000
0.000 8.122 -4.689
0.000 0.000 9.378
Sm Dy Pb
6 8 1
direct
0.677 0.642 0.091
0.677 0.909 0.551
0.677 0.449 0.358
0.323 0.358 0.909
0.323 0.091 0.449
0.323 0.551 0.642
0.818 0.037 0.265
0.818 0.735 0.772
0.818 0.228 0.963
0.182 0.963 0.735
0.182 0.265 0.228
0.182 0.772 0.037
0.845 0.333 0.667
0.155 0.667 0.333
0.500 0.000 0.000
```


Record 13
Entry from Alexandria via LeMat-Bulk: a relaxed structure of SmDy4Pb4 (PBE).

energy	-79.972	eV/cell
space-group type	P4_2/n (86)
formation enthalpy at 0 K	-0.225	eV/atom
crystal system	tetragonal

```
SmDy4Pb4
1.0
6.214 0.000 0.000
0.000 9.989 0.000
0.000 0.000 9.989
Sm Dy Pb
2 8 8
direct
0.000 0.000 0.000
0.500 0.500 0.500
0.406 0.337 0.902
0.906 0.598 0.837
0.406 0.663 0.098
0.094 0.163 0.598
0.594 0.902 0.663
0.094 0.837 0.402
0.906 0.402 0.163
0.594 0.098 0.337
0.588 0.784 0.373
0.588 0.216 0.627
0.088 0.873 0.716
0.912 0.284 0.873
0.912 0.716 0.127
0.412 0.373 0.216
0.412 0.627 0.784
0.088 0.127 0.284
```


Record 14
Entry from Alexandria via LeMat-Bulk: a relaxed structure of Sm2DyPb (PBE).

energy	-18.365	eV/cell
space-group type	R3m (160)
formation enthalpy at 0 K	-0.154	eV/atom
relative energy among the computed polymorphs	14.72	kJ per mole of atoms
crystal system	trigonal

```
Sm2DyPb
1.0
3.643 0.000 0.000
1.822 3.155 0.000
1.822 1.052 11.138
Sm Dy Pb
2 1 1
direct
0.081 0.081 0.758
0.253 0.253 0.242
0.500 0.500 0.500
0.666 0.666 0.001
```


Record 15
Entry from Alexandria via LeMat-Bulk: a relaxed structure of SmDyPb6 (PBE).

energy	-34.055	eV/cell
space-group type	P4/mmm (123)
formation enthalpy at 0 K	-0.310	eV/atom
crystal system	tetragonal

```
SmDyPb6
1.0
4.892 0.000 0.000
0.000 4.892 0.000
0.000 0.000 9.792
Sm Dy Pb
1 1 6
direct
0.000 0.000 0.000
0.000 0.000 0.500
0.500 0.500 0.000
0.500 0.500 0.500
0.500 0.000 0.253
0.500 0.000 0.747
0.000 0.500 0.253
0.000 0.500 0.747
```


Record 16
Entry from Alexandria via LeMat-Bulk: a relaxed structure of Tb2Sm3Dy6Pb (PBE).

energy	-55.384	eV/cell
space-group type	C2/m (12)
formation enthalpy at 0 K	-0.054	eV/atom
crystal system	monoclinic

```
Tb2Sm3Dy6Pb
1.0
6.137 -0.003 0.012
-3.069 5.314 0.012
-1.055 -1.826 11.519
Tb Sm Dy Pb
2 3 6 1
direct
0.334 0.666 0.000
0.666 0.334 0.000
0.168 0.832 0.500
0.832 0.168 0.500
0.500 0.500 0.500
0.919 0.591 0.754
0.754 0.754 0.248
0.081 0.409 0.246
0.591 0.919 0.754
0.246 0.246 0.752
0.409 0.081 0.246
0.000 0.000 0.000
```


Record 17
Entry from Alexandria via LeMat-Bulk: a relaxed structure of Tb6Sm3Dy2Pb (PBE).

energy	-55.459	eV/cell
space-group type	C2/m (12)
formation enthalpy at 0 K	-0.051	eV/atom
crystal system	monoclinic

```
Tb6Sm3Dy2Pb
1.0
-2.625 5.562 -0.207
-3.382 -5.042 -1.006
-0.314 -0.859 11.688
Tb Sm Dy Pb
6 3 2 1
direct
0.919 0.592 0.755
0.754 0.754 0.248
0.081 0.408 0.245
0.592 0.919 0.755
0.246 0.246 0.752
0.408 0.081 0.245
0.168 0.832 0.500
0.832 0.168 0.500
0.500 0.500 0.500
0.334 0.666 0.000
0.666 0.334 0.000
0.000 0.000 0.000
```


Record 18
Entry from Alexandria via LeMat-Bulk: a relaxed structure of SmDyTePb (PBE).

energy	-20.024	eV/cell
space-group type	R3m (160)
energy relative to the elements, uncorrected	-963	meV per atom
crystal system	trigonal

```
SmDyTePb
1.0
4.459 0.000 0.000
2.229 3.861 0.000
2.229 1.287 7.288
Sm Dy Te Pb
1 1 1 1
direct
0.947 0.947 0.159
0.441 0.441 0.676
0.192 0.192 0.424
0.696 0.696 0.912
```


Record 19
Entry from Alexandria via LeMat-Bulk: a relaxed structure of Sm2Dy6Y3Pb (PBE).

energy	-60.844	eV/cell
space-group type	C2/m (12)
formation enthalpy at 0 K	-0.058	eV/atom
crystal system	monoclinic

```
Sm2Dy6Y3Pb
1.0
-4.936 -3.265 1.554
3.747 -2.018 -4.395
6.644 -3.902 8.880
Sm Dy Y Pb
2 6 3 1
direct
0.334 0.666 0.000
0.666 0.334 0.000
0.918 0.590 0.751
0.755 0.755 0.250
0.082 0.410 0.249
0.590 0.918 0.751
0.245 0.245 0.750
0.410 0.082 0.249
0.167 0.833 0.500
0.833 0.167 0.500
0.500 0.500 0.500
0.000 0.000 0.000
```


Record 20
Entry from Alexandria via LeMat-Bulk: a relaxed structure of DySn2Pb2 (PBE).

energy	-43.010	eV/cell
space-group type	Cmcm (63)
formation enthalpy at 0 K	-0.296	eV/atom
crystal system	orthorhombic

```
DySn2Pb2
1.0
4.564 0.000 0.000
0.000 4.564 0.000
-2.282 0.000 13.669
Dy Sn Pb
2 4 4
direct
0.339 0.250 0.678
0.661 0.750 0.322
0.750 0.250 0.499
0.250 0.750 0.501
0.853 0.750 0.706
0.147 0.250 0.294
0.058 0.750 0.115
0.442 0.750 0.884
0.942 0.250 0.885
0.558 0.250 0.116
```


Record 21
Entry from Alexandria via LeMat-Bulk: a relaxed structure of Dy2Sn4Pb (PBE).

energy	-31.350	eV/cell
space-group type	C2/m (12)
formation enthalpy at 0 K	-0.347	eV/atom
crystal system	monoclinic

```
Dy2Sn4Pb
1.0
-4.606 2.780 -3.822
0.753 -4.862 -4.399
-1.343 -1.417 6.303
Dy Sn Pb
2 4 1
direct
0.286 0.786 0.571
0.786 0.286 0.571
0.786 0.786 0.072
0.286 0.286 0.071
0.786 0.286 0.071
0.286 0.786 0.071
0.786 0.786 0.572
```


Record 22
Entry from Alexandria via LeMat-Bulk: a relaxed structure of DySn2Pb (PBE).

energy	-17.769	eV/cell
space-group type	P4/mmm (123)
formation enthalpy at 0 K	-0.363	eV/atom
crystal system	tetragonal

```
DySn2Pb
1.0
-2.230 -1.326 -3.837
4.208 -1.380 -1.968
-0.580 -4.433 1.869
Pb Sn Dy
1 2 1
direct
0.500 0.000 0.000
0.000 0.000 0.500
0.000 0.500 0.000
0.500 0.500 0.500
```


Number 1: DOS(E_F) 1.297 states/eV per atom. Number 2: DOS(E_F) 0.813 states/eV per atom. Number 3: DOS(E_F) 0.282 states/eV per atom. Number 4: DOS(E_F) 1.210 states/eV per atom. Number 5: DOS(E_F) 0.945 states/eV per atom. Number 6: DOS(E_F) 0.569 states/eV per atom. Number 7: DOS(E_F) 0.988 states/eV per atom. Number 8: DOS(E_F) 0.949 states/eV per atom. Number 9: DOS(E_F) 1.362 states/eV per atom. Number 10: DOS(E_F) 0.547 states/eV per atom. Number 11: DOS(E_F) 1.106 states/eV per atom. Number 12: DOS(E_F) 1.248 states/eV per atom. Number 13: DOS(E_F) 1.118 states/eV per atom. Number 14: DOS(E_F) 1.119 states/eV per atom. Number 15: DOS(E_F) 0.523 states/eV per atom. Number 16: DOS(E_F) 1.277 states/eV per atom. Number 17: DOS(E_F) 1.287 states/eV per atom. Number 18: DOS(E_F) 0.332 states/eV per atom. Number 19: DOS(E_F) 1.246 states/eV per atom. Number 20: DOS(E_F) 0.396 states/eV per atom. Number 21: DOS(E_F) 0.574 states/eV per atom. Number 22: DOS(E_F) 0.556 states/eV per atom.